No. 1
HgPtCl, optimized geometry, DFT PBE; formation energy (no corrections) = 0.269 eV/atom; polymorph energy (0 for the lowest one) = 20.4 kJ/mol of atoms
1.0
4.581 0.000 0.000
2.291 3.967 0.000
2.291 1.322 3.740
Hg Cl Pt
1 1 1
direct
0.500 0.500 0.500
0.000 0.000 0.000
0.750 0.750 0.750

No. 2
Ti2InAg2, optimized geometry, DFT PBE; polymorph energy (0 for the lowest one) = 15.5 kJ/mol of atoms; calculated formation energy = 24.7 kJ per mole of atoms
1.0
-7.365 -1.136 -2.829
-2.727 -0.852 7.441
-0.520 2.994 0.152
Ag In Ti
4 2 4
direct
0.869 0.369 0.500
0.131 0.631 0.500
0.369 0.131 0.500
0.631 0.869 0.500
0.000 0.000 0.000
0.500 0.500 0.000
0.663 0.163 0.000
0.163 0.337 0.000
0.337 0.837 0.000
0.837 0.663 0.000

No. 3
BaPmF5, optimized geometry, DFT PBE; formation energy (no corrections) = -3.916 eV/atom
1.0
-2.832 3.857 -2.491
-3.097 1.168 4.260
5.371 5.613 2.445
Pm F Ba
2 10 2
direct
0.475 0.525 0.250
0.525 0.475 0.750
0.376 0.944 0.209
0.397 0.295 0.500
0.603 0.705 0.500
0.944 0.376 0.709
0.624 0.056 0.791
0.295 0.397 0.000
0.788 0.212 0.250
0.212 0.788 0.750
0.056 0.624 0.291
0.705 0.603 0.000
0.000 0.000 0.000
0.000 0.000 0.500